A plane-wave DFT calculation with PBE was carried out for a geometry-optimized NaMg2InNi structure.

Cell: 4.935 4.935 4.932 Å, 90.00 90.00 90.00°
Space group P4/mmm (No. 123)
Asymmetric unit:
Na1 0.000 0.000 0.000 [1 per cell]
Mg1 0.000 0.500 0.500 [2 per cell]
In1 0.500 0.500 0.000 [1 per cell]
Ni1 0.500 0.500 0.500 [1 per cell]

A plane-wave DFT calculation with PBE was carried out for a geometry-optimized Cr2FeSnC structure.

Cell: 3.984 3.984 3.855 Å, 90.00 90.00 90.00°
Space group P4/mmm (No. 123)
Asymmetric unit:
Cr1 0.000 0.500 0.000 [2 per cell]
Fe1 0.000 0.000 0.500 [1 per cell]
Sn1 0.500 0.500 0.500 [1 per cell]
C1 0.000 0.000 0.000 [1 per cell]

A plane-wave DFT calculation with PBE was carried out for a geometry-optimized KCa2RhW structure.

Cell: 5.129 5.129 4.689 Å, 90.00 90.00 90.00°
Space group P4/mmm (No. 123)
Asymmetric unit:
K1 0.000 0.000 0.000 [1 per cell]
Ca1 0.000 0.500 0.000 [2 per cell]
Rh1 0.500 0.500 0.500 [1 per cell]
W1 0.000 0.000 0.500 [1 per cell]

A plane-wave DFT calculation with PBE was carried out for a geometry-optimized La2NdSn structure.

Cell: 4.964 4.964 5.087 Å, 90.00 90.00 90.00°
Space group P4/mmm (No. 123)
Asymmetric unit:
La1 0.000 0.500 0.000 [2 per cell]
Nd1 0.000 0.000 0.500 [1 per cell]
Sn1 0.500 0.500 0.500 [1 per cell]

no.,calculated formation energy (eV per formula unit),volume (A^3/atom)
1,-0.29,24.02
2,0.30,12.23
3,10.79,24.67
4,-1.91,31.34